The following is a PBEsol calculation of a relaxed AlTcAg2 crystal, from Alexandria.

Values from the calculation:
ΔE_f = 0.278 eV per atom
M_tot = 0.001 μB per cell
space group = I4/mmm, No. 139

Unit cell a=3.766 b=3.766 c=5.097 alpha=111.68 beta=111.68 gamma=90.00
Positions (direct):
Ag (0.250, 0.750, 0.500)
Al (0.500, 0.500, 0.000)
Ag (0.750, 0.250, 0.500)
Tc (0.000, 0.000, 0.000)



The following is a PBEsol calculation of a relaxed TiAlTc2Ag crystal, from Alexandria.

Values from the calculation:
ΔE_f = 1.875 eV per atom
M_tot = 1.994 μB per cell
space group = P4/mmm, No. 123

Unit cell a=4.549 b=4.750 c=4.750 alpha=90.00 beta=90.00 gamma=90.00
Last column: magnetic moment on the atom in μB.
Positions (direct):
Ag (0.000, 0.000, 0.000)  0.08
Tc (0.000, 0.500, 0.000)  1.31
Al (0.500, 0.500, 0.500)  -0.03
Ti (0.500, 0.000, 0.000)  -0.68
Tc (0.000, 0.000, 0.500)  1.31



The following is a PBEsol calculation of a relaxed AlAgTe2 crystal, from Alexandria.

Values from the calculation:
M_tot = 0.000 μB per cell
space group = I-42d, No. 122
uncorrected formation energy = -0.293 eV/atom

Unit cell a=6.282 b=6.282 c=7.507 alpha=114.73 beta=114.73 gamma=90.00
Positions (direct):
Ag (0.250, 0.750, 0.500)
Te (0.860, 0.375, 0.250)
Al (0.750, 0.250, 0.500)
Te (0.390, 0.875, 0.250)
Te (0.125, 0.140, 0.750)
Te (0.625, 0.610, 0.750)
Al (0.500, 0.500, 0.000)
Ag (0.000, 0.000, 0.000)



The following is a PBEsol calculation of a relaxed AlAgTe2 crystal, from Alexandria.

Values from the calculation:
M_tot = 0.000 μB per cell
space group = R3m, No. 160
uncorrected formation energy = 0.028 eV/atom

Unit cell a=3.387 b=3.387 c=9.857 alpha=80.11 beta=80.11 gamma=60.00
Positions (direct):
Te (0.769, 0.769, 0.693)
Te (0.977, 0.977, 0.069)
Ag (0.512, 0.512, 0.463)
Al (0.242, 0.242, 0.275)



The following is a PBEsol calculation of a relaxed AlTlAg2 crystal, from Alexandria.

Values from the calculation:
ΔE_f = 0.143 eV per atom
M_tot = 0.000 μB per cell
ΔE to the lowest computed polymorph = 0.0412 eV per atom
space group = Cmmm, No. 65

Unit cell a=3.214 b=4.955 c=4.955 alpha=107.68 beta=90.00 gamma=90.00
Positions (direct):
Ag (0.000, 0.500, 0.000)
Tl (0.500, 0.500, 0.500)
Al (0.500, 0.000, 0.000)
Ag (0.000, 0.000, 0.500)



The following is a PBEsol calculation of a relaxed AlTlAg2 crystal, from Alexandria.

Values from the calculation:
ΔE_f = 0.102 eV per atom
M_tot = 0.000 μB per cell
ΔE to the lowest computed polymorph = 0.0000 eV per atom
space group = P4mm, No. 99

Unit cell a=3.568 b=3.568 c=5.889 alpha=90.00 beta=90.00 gamma=90.00
Positions (direct):
Al (0.000, 0.000, 0.469)
Ag (0.500, 0.500, 0.260)
Ag (0.000, 0.000, 0.016)
Tl (0.500, 0.500, 0.755)



Q: Look up the M_tot of the sixth one.
A: 0.000 μB per cell



Q: Which formula does entry 3 have?
A: AlAgTe2



Copy entry 6 word for word.
The following is a PBEsol calculation of a relaxed AlTlAg2 crystal, from Alexandria.

Values from the calculation:
ΔE_f = 0.102 eV per atom
M_tot = 0.000 μB per cell
ΔE to the lowest computed polymorph = 0.0000 eV per atom
space group = P4mm, No. 99

Unit cell a=3.568 b=3.568 c=5.889 alpha=90.00 beta=90.00 gamma=90.00
Positions (direct):
Al (0.000, 0.000, 0.469)
Ag (0.500, 0.500, 0.260)
Ag (0.000, 0.000, 0.016)
Tl (0.500, 0.500, 0.755)